# 1
A geometry-optimized Ba6HgPdPt structure, computed with PBE-GGA.

Values from the calculation:
Formation energy from the elements   -0.47 eV/atom
Calculated volume   875.45 Å³ per cell
Symmetry   P-31c, No. 163
VASP energy   -3.037 eV per atom

Cell lengths 8.1130, 8.1130, 15.3580 Å; angles 90.00, 90.00, 120.00 degrees
With the nearest neighbours (Å) after each atom.
Positions (direct):
Ba: 0.0033 0.3510 0.1343  1 Pt 3.17, 1 Pd 3.20, 1 Hg 3.51
Ba: 0.0033 0.6523 0.3657  1 Pt 3.17, 1 Pd 3.20, 1 Hg 3.51
Ba: 0.3477 0.3510 0.3657  1 Pt 3.17, 1 Pd 3.20, 1 Hg 3.51
Ba: 0.3477 0.9967 0.1343  1 Pt 3.17, 1 Pd 3.20, 1 Hg 3.51
Ba: 0.3510 0.0033 0.6343  1 Pt 3.17, 1 Pd 3.20, 1 Hg 3.51
Ba: 0.3510 0.3477 0.8657  1 Pt 3.17, 1 Pd 3.20, 1 Hg 3.51
Ba: 0.6490 0.6523 0.1343  1 Pt 3.17, 1 Pd 3.20, 1 Hg 3.51
Ba: 0.6490 0.9967 0.3657  1 Pt 3.17, 1 Pd 3.20, 1 Hg 3.51
Ba: 0.6523 0.0033 0.8657  1 Pt 3.17, 1 Pd 3.20, 1 Hg 3.51
Ba: 0.6523 0.6490 0.6343  1 Pt 3.17, 1 Pd 3.20, 1 Hg 3.51
Ba: 0.9967 0.3477 0.6343  1 Pt 3.17, 1 Pd 3.20, 1 Hg 3.51
Ba: 0.9967 0.6490 0.8657  1 Pt 3.17, 1 Pd 3.20, 1 Hg 3.51
Hg: 0.0000 0.0000 0.0000  6 Ba 3.51
Hg: 0.0000 0.0000 0.5000  6 Ba 3.51
Pd: 0.3333 0.6667 0.7500  6 Ba 3.20
Pd: 0.6667 0.3333 0.2500  6 Ba 3.20
Pt: 0.3333 0.6667 0.2500  6 Ba 3.17
Pt: 0.6667 0.3333 0.7500  6 Ba 3.17

# 2
A geometry-optimized Mn2CrRu structure, computed with PBE-GGA.

Values from the calculation:
Formation energy from the elements   0.12 eV/atom
Calculated volume   48.89 Å³ per cell
Symmetry   Cm, No. 8
VASP energy   -9.188 eV per atom

Cell lengths 4.4643, 4.4643, 4.4667 Å; angles 99.87, 99.87, 33.94 degrees
With the nearest neighbours (Å) after each atom.
Positions (direct):
Mn: 0.0000 0.0000 0.0000  5 Mn 2.51-2.61, 4 Cr 2.53-2.64, 3 Ru 2.59-2.65
Mn: 0.7442 0.7442 0.2272  5 Mn 2.51-2.61, 4 Ru 2.58-2.59, 3 Cr 2.59
Cr: 0.4949 0.4949 0.4844  3 Ru 2.52-2.62, 7 Mn 2.53-2.64, 2 Cr 2.61
Ru: 0.2522 0.2522 0.7308  3 Cr 2.52-2.62, 7 Mn 2.58-2.65, 2 Ru 2.61

# 3
A geometry-optimized Ac2ScCu3Sn4 structure, computed with PBE-GGA.

Values from the calculation:
Formation energy from the elements   -0.49 eV/atom
Calculated volume   244.51 Å³ per cell
Symmetry   P-4m2, No. 115
VASP energy   -4.778 eV per atom

Cell lengths 4.6111, 4.6111, 11.4995 Å; angles 90.00, 90.00, 90.00 degrees
With the nearest neighbours (Å) after each atom.
Positions (direct):
Ac: 0.0000 0.5000 0.2388  6 Cu 3.51-3.79, 8 Sn 3.52-3.59, 2 Sc 3.79
Ac: 0.5000 0.0000 0.7612  6 Cu 3.51-3.79, 8 Sn 3.52-3.59, 2 Sc 3.79
Sc: 0.0000 0.0000 0.5000  4 Sn 2.84
Cu: 0.0000 0.5000 0.8737  5 Sn 2.63-2.72
Cu: 0.5000 0.0000 0.1263  5 Sn 2.63-2.72
Cu: 0.5000 0.5000 0.5000  4 Sn 2.84
Sn: 0.0000 0.0000 0.0000  4 Cu 2.72
Sn: 0.0000 0.5000 0.6448  3 Cu 2.63-2.84, 2 Sc 2.84
Sn: 0.5000 0.0000 0.3552  3 Cu 2.63-2.84, 2 Sc 2.84
Sn: 0.5000 0.5000 0.0000  4 Cu 2.72

# 4
A geometry-optimized Na4Np3PdS8 structure, computed with PBE-GGA.

Values from the calculation:
Calculated volume   354.93 Å³ per cell
Symmetry   R-3m, No. 166
VASP energy   -6.324 eV per atom

Cell lengths 8.0724, 8.0724, 8.0724 Å; angles 58.00, 58.00, 58.00 degrees
With the nearest neighbours (Å) after each atom.
Positions (direct):
Na: 0.0000 0.0000 0.0000  6 S 2.90
Na: 0.0000 0.5000 0.5000  6 S 2.89-2.93
Na: 0.5000 0.0000 0.5000  6 S 2.89-2.93
Na: 0.5000 0.5000 0.0000  6 S 2.89-2.93
Np: 0.0000 0.0000 0.5000  6 S 2.70-2.73
Np: 0.0000 0.5000 0.0000  6 S 2.70-2.73
Np: 0.5000 0.0000 0.0000  6 S 2.70-2.73
Pd: 0.5000 0.5000 0.5000  6 S 2.73
S: 0.2379 0.7429 0.7429  2 Np 2.70, 1 Pd 2.73, 3 Na 2.90-2.93
S: 0.2433 0.2433 0.2433  3 Np 2.73, 3 Na 2.89
S: 0.2571 0.2571 0.7621  2 Np 2.70, 1 Pd 2.73, 3 Na 2.90-2.93
S: 0.2571 0.7621 0.2571  2 Np 2.70, 1 Pd 2.73, 3 Na 2.90-2.93
S: 0.7429 0.2379 0.7429  2 Np 2.70, 1 Pd 2.73, 3 Na 2.90-2.93
S: 0.7429 0.7429 0.2379  2 Np 2.70, 1 Pd 2.73, 3 Na 2.90-2.93
S: 0.7567 0.7567 0.7567  3 Np 2.73, 3 Na 2.89
S: 0.7621 0.2571 0.2571  2 Np 2.70, 1 Pd 2.73, 3 Na 2.90-2.93